Arrangement 1

NiMo2Br | Alexandria via LeMat-Bulk | PBE-GGA | optimized geometry; theoretical density = 7.82 g/cm³
1.0
-1.234 -2.125 -1.573
2.379 -0.137 -1.682
3.255 -5.639 5.064
Mo Ni Br
2 1 1
direct
0.000 0.000 0.011
0.500 0.500 0.250
0.000 0.000 0.441
0.500 0.500 0.798

Arrangement 2

NiMo2Br | Alexandria via LeMat-Bulk | PBE-GGA | optimized geometry; theoretical density = 8.72 g/cm³
1.0
5.223 -0.023 0.000
2.570 4.547 0.000
-3.897 -2.262 2.642
Ni Mo Br
1 2 1
direct
0.250 0.750 0.500
0.500 0.500 0.000
0.000 0.000 0.000
0.750 0.250 0.500

Least stable structure: arrangement 2

Arrangement 1

Al2CoHg | Alexandria via LeMat-Bulk | PBE-GGA | optimized geometry; theoretical density = 8.20 g/cm³
1.0
-2.649 2.279 2.511
-2.341 -0.509 -2.007
-1.156 -3.931 2.349
Al Hg Co
2 1 1
direct
0.000 0.875 0.073
0.500 0.375 0.234
0.500 0.875 0.720
0.000 0.375 0.472

Arrangement 2

Al2CoHg | Alexandria via LeMat-Bulk | PBE-GGA | optimized geometry; theoretical density = 8.57 g/cm³
1.0
4.759 0.000 0.000
1.432 4.538 0.000
-3.095 -2.269 2.814
Al Co Hg
2 1 1
direct
0.500 0.500 0.000
0.000 0.000 0.000
0.250 0.750 0.500
0.750 0.250 0.500

Least stable structure: arrangement 2

Arrangement 1

Te2As | Alexandria via LeMat-Bulk | PBE-GGA | optimized geometry; theoretical density = 5.85 g/cm³
1.0
10.352 7.437 -1.149
-10.368 -5.914 4.618
2.246 -2.926 1.295
Te As
4 2
direct
0.420 0.580 0.250
0.223 0.777 0.750
0.777 0.223 0.250
0.580 0.420 0.750
0.117 0.883 0.250
0.883 0.117 0.750

Arrangement 2

Te2As | Alexandria via LeMat-Bulk | PBE-GGA | optimized geometry; theoretical density = 6.25 g/cm³
1.0
-2.180 -5.740 -3.469
6.105 -0.187 -3.527
2.779 -4.093 5.027
As Te
4 8
direct
0.500 0.500 0.000
0.000 0.000 0.000
0.500 0.000 0.500
0.000 0.500 0.500
0.365 0.365 0.635
0.135 0.635 0.135
0.365 0.135 0.135
0.635 0.865 0.865
0.865 0.135 0.365
0.635 0.635 0.365
0.865 0.365 0.865
0.135 0.865 0.635

Least stable structure: arrangement 1

Arrangement 1

MgSbPb2 | Alexandria via LeMat-Bulk | PBE-GGA | optimized geometry; theoretical density = 8.26 g/cm³
1.0
-0.019 -0.582 3.436
-1.892 -2.800 -0.854
7.814 -5.032 -0.810
Sb Mg Pb
1 1 2
direct
0.000 0.000 0.532
0.500 0.500 0.741
0.000 0.000 0.976
0.500 0.500 0.250

Arrangement 2

MgSbPb2 | Alexandria via LeMat-Bulk | PBE-GGA | optimized geometry; theoretical density = 7.83 g/cm³
1.0
-2.547 4.203 -5.229
0.390 1.768 -6.944
-3.103 -2.210 -2.176
Sb Pb Mg
1 2 1
direct
0.750 0.750 0.750
0.445 0.445 0.558
0.055 0.055 0.942
0.250 0.250 0.250

Least stable structure: arrangement 1